HfBeZnNi: optimized geometry, PBE.

The structure in POSCAR format:
```
HfBeZnNi
1.0
6.023 0.000 0.000
0.000 6.023 0.000
0.000 0.000 6.023
Hf Be Zn Ni
4 4 4 4
direct
0.000 0.000 0.000
0.000 0.500 0.500
0.500 0.000 0.500
0.500 0.500 0.000
0.000 0.000 0.500
0.000 0.500 0.000
0.500 0.000 0.000
0.500 0.500 0.500
0.250 0.250 0.250
0.250 0.750 0.750
0.750 0.250 0.750
0.750 0.750 0.250
0.250 0.250 0.750
0.250 0.750 0.250
0.750 0.250 0.250
0.750 0.750 0.750
```

## Properties
total moment = 0.0 μB/f.u.
final energy = -85.1 eV for the cell shown
energy relative to the lowest polymorph listed for this composition = 6.59 kJ/mol of atoms


HfBeZnNi: optimized geometry, PBE.

The structure in POSCAR format:
```
HfBeZnNi
1.0
5.979 0.000 0.000
0.000 5.979 0.000
0.000 0.000 5.979
Hf Be Zn Ni
4 4 4 4
direct
0.000 0.000 0.000
0.000 0.500 0.500
0.500 0.000 0.500
0.500 0.500 0.000
0.250 0.250 0.750
0.250 0.750 0.250
0.750 0.250 0.250
0.750 0.750 0.750
0.000 0.000 0.500
0.000 0.500 0.000
0.500 0.000 0.000
0.500 0.500 0.500
0.250 0.250 0.250
0.250 0.750 0.750
0.750 0.250 0.750
0.750 0.750 0.250
```

## Properties
total moment = 0.0 μB/f.u.
final energy = -86.2 eV for the cell shown
energy relative to the lowest polymorph listed for this composition = 0.00 kJ/mol of atoms


Hf2Be2O5: optimized geometry, PBE.

The structure in POSCAR format:
```
Hf2Be2O5
1.0
3.682 0.000 0.000
0.000 3.682 0.000
0.000 0.000 8.062
Hf Be O
2 2 5
direct
0.000 0.000 0.249
0.000 0.000 0.751
0.500 0.500 0.000
0.500 0.500 0.500
0.000 0.000 0.000
0.000 0.500 0.350
0.000 0.500 0.650
0.500 0.000 0.350
0.500 0.000 0.650
```

## Properties
total moment = 0.0 μB/f.u.
final energy = -70.2 eV for the cell shown
energy relative to the lowest polymorph listed for this composition = 31.27 kJ/mol of atoms


HfBeO3: optimized geometry, PBE.

The structure in POSCAR format:
```
HfBeO3
1.0
3.304 0.000 0.000
0.000 3.304 0.000
0.000 0.000 4.242
Hf Be O
1 1 3
direct
0.000 0.000 0.000
0.500 0.500 0.416
0.000 0.500 0.288
0.500 0.000 0.288
0.500 0.500 0.796
```

## Properties
total moment = 0.0 μB/f.u.
final energy = -42.3 eV for the cell shown


Hf2Be2O5: optimized geometry, PBE.

The structure in POSCAR format:
```
Hf2Be2O5
1.0
3.419 0.000 0.000
0.000 3.419 0.000
0.000 0.000 6.588
Hf Be O
2 2 5
direct
0.000 0.000 0.000
0.000 0.000 0.500
0.500 0.500 0.249
0.500 0.500 0.751
0.000 0.500 0.226
0.000 0.500 0.774
0.500 0.000 0.226
0.500 0.000 0.774
0.500 0.500 0.500
```

## Properties
total moment = 0.0 μB/f.u.
final energy = -73.1 eV for the cell shown
energy relative to the lowest polymorph listed for this composition = 0.00 kJ/mol of atoms


HfBe2Os: optimized geometry, PBE.

The structure in POSCAR format:
```
HfBe2Os
1.0
6.039 0.000 0.000
0.000 6.039 0.000
0.000 0.000 6.039
Hf Be Os
4 8 4
direct
0.000 0.000 0.000
0.000 0.500 0.500
0.500 0.000 0.500
0.500 0.500 0.000
0.000 0.000 0.500
0.000 0.500 0.000
0.250 0.250 0.250
0.250 0.750 0.750
0.500 0.000 0.000
0.500 0.500 0.500
0.750 0.250 0.750
0.750 0.750 0.250
0.250 0.250 0.750
0.250 0.750 0.250
0.750 0.250 0.250
0.750 0.750 0.750
```

## Properties
total moment = 0.0 μB/f.u.
final energy = -114.6 eV for the cell shown


HfBe4Os: optimized geometry, PBE.

The structure in POSCAR format:
```
HfBe4Os
1.0
0.000 3.201 3.201
3.201 0.000 3.201
3.201 3.201 0.000
Hf Be Os
1 4 1
direct
0.000 0.000 0.000
0.129 0.624 0.624
0.624 0.129 0.624
0.624 0.624 0.129
0.624 0.624 0.624
0.250 0.250 0.250
```

## Properties
total moment = 0.0 μB/f.u.
final energy = -39.1 eV for the cell shown


Hf2BeOs: optimized geometry, PBE.

The structure in POSCAR format:
```
Hf2BeOs
1.0
6.355 0.000 0.000
0.000 6.355 0.000
0.000 0.000 6.355
Hf Be Os
8 4 4
direct
0.000 0.000 0.000
0.000 0.500 0.500
0.250 0.250 0.250
0.250 0.750 0.750
0.500 0.000 0.500
0.500 0.500 0.000
0.750 0.250 0.750
0.750 0.750 0.250
0.000 0.000 0.500
0.000 0.500 0.000
0.500 0.000 0.000
0.500 0.500 0.500
0.250 0.250 0.750
0.250 0.750 0.250
0.750 0.250 0.250
0.750 0.750 0.750
```

## Properties
total moment = 0.0 μB/f.u.
final energy = -140.1 eV for the cell shown